(1)
The following is a DFT calculation (PBE) of a geometry-optimized NdEr4Co4 structure. Values from VASP.

The structure in Quantum ESPRESSO input format:
```
&SYSTEM
  ibrav = 0, nat = 18, ntyp = 3
/
ATOMIC_SPECIES
Er 167.26 Er.upf
Co 58.93 Co.upf
Nd 144.24 Nd.upf
CELL_PARAMETERS angstrom
-3.523 -3.498 2.358
5.877 -6.080 -0.239
2.760 2.368 7.637
ATOMIC_POSITIONS crystal
Er 0.115 0.817 0.421
Er 0.385 0.683 0.079
Er 0.885 0.421 0.183
Er 0.615 0.079 0.317
Er 0.615 0.921 0.683
Er 0.885 0.579 0.817
Er 0.115 0.183 0.579
Er 0.385 0.317 0.921
Co 0.629 0.231 0.641
Co 0.871 0.269 0.859
Co 0.371 0.359 0.231
Co 0.129 0.141 0.269
Co 0.371 0.641 0.769
Co 0.629 0.769 0.359
Co 0.129 0.859 0.731
Co 0.871 0.731 0.141
Nd 0.000 0.000 0.000
Nd 0.500 0.500 0.500
```

Results
**Crystal system**: tetragonal
**Volume**: 393.3 Å³/cell
**SG**: P4_2/n

***

(2)
The following is a DFT calculation (PBE) of a geometry-optimized Nd2ErCo structure. Values from VASP.

The structure in Quantum ESPRESSO input format:
```
&SYSTEM
  ibrav = 0, nat = 16, ntyp = 3
/
ATOMIC_SPECIES
Nd 144.24 Nd.upf
Co 58.93 Co.upf
Er 167.26 Er.upf
CELL_PARAMETERS angstrom
6.251 0.000 0.000
0.000 7.057 0.000
0.000 0.000 9.871
ATOMIC_POSITIONS crystal
Nd 0.176 0.676 0.070
Nd 0.824 0.324 0.570
Nd 0.824 0.324 0.930
Nd 0.176 0.676 0.430
Nd 0.324 0.176 0.430
Nd 0.324 0.176 0.070
Nd 0.676 0.824 0.930
Nd 0.676 0.824 0.570
Co 0.953 0.617 0.750
Co 0.453 0.883 0.250
Co 0.547 0.117 0.750
Co 0.047 0.383 0.250
Er 0.156 0.956 0.750
Er 0.344 0.456 0.750
Er 0.656 0.544 0.250
Er 0.844 0.044 0.250
```

Results
**Crystal system**: orthorhombic
**Energy relative to the lowest polymorph listed for this composition**: 0.000 eV/atom
**Volume**: 435.5 Å³/cell
**SG**: Pnma

***

(3)
The following is a DFT calculation (PBE) of a geometry-optimized NdEr2Co structure. Values from VASP.

The structure in Quantum ESPRESSO input format:
```
&SYSTEM
  ibrav = 0, nat = 8, ntyp = 3
/
ATOMIC_SPECIES
Co 58.93 Co.upf
Er 167.26 Er.upf
Nd 144.24 Nd.upf
CELL_PARAMETERS angstrom
-1.190 3.296 -0.977
-1.335 -0.655 6.163
8.383 3.680 2.207
ATOMIC_POSITIONS crystal
Co 0.755 0.510 0.750
Co 0.245 0.490 0.250
Er 0.357 0.714 0.927
Er 0.643 0.286 0.073
Er 0.357 0.714 0.573
Er 0.643 0.286 0.427
Nd 0.082 0.163 0.750
Nd 0.918 0.837 0.250
```

Results
**Crystal system**: monoclinic
**Energy relative to the lowest polymorph listed for this composition**: 0.000 eV/atom
**Volume**: 208.2 Å³/cell
**SG**: P2_1/m

***

(4)
The following is a DFT calculation (PBE) of a geometry-optimized NdEr2Co structure. Values from VASP.

The structure in Quantum ESPRESSO input format:
```
&SYSTEM
  ibrav = 0, nat = 4, ntyp = 3
/
ATOMIC_SPECIES
Er 167.26 Er.upf
Nd 144.24 Nd.upf
Co 58.93 Co.upf
CELL_PARAMETERS angstrom
-2.435 2.088 1.088
-2.178 -2.593 0.101
2.350 -1.647 8.421
ATOMIC_POSITIONS crystal
Er 0.000 0.000 0.821
Er 0.000 0.000 0.179
Nd 0.500 0.500 0.500
Co 0.500 0.500 0.000
```

Results
**Crystal system**: tetragonal
**Energy relative to the lowest polymorph listed for this composition**: 0.029 eV/atom
**Volume**: 102.1 Å³/cell
**SG**: P4/mmm

***

(5)
The following is a DFT calculation (PBE) of a geometry-optimized NdErCo3 structure. Values from VASP.

The structure in Quantum ESPRESSO input format:
```
&SYSTEM
  ibrav = 0, nat = 10, ntyp = 3
/
ATOMIC_SPECIES
Co 58.93 Co.upf
Nd 144.24 Nd.upf
Er 167.26 Er.upf
CELL_PARAMETERS angstrom
3.908 0.000 0.000
0.000 4.095 -0.783
0.000 0.130 11.781
ATOMIC_POSITIONS crystal
Co 0.750 0.525 0.049
Co 0.250 0.376 0.753
Co 0.250 0.475 0.951
Co 0.750 0.329 0.659
Co 0.750 0.624 0.247
Co 0.250 0.671 0.341
Nd 0.750 0.928 0.856
Nd 0.250 0.072 0.144
Er 0.250 0.794 0.588
Er 0.750 0.206 0.412
```

Results
**Crystal system**: orthorhombic
**Volume**: 189.0 Å³/cell
**SG**: Cmcm

***

(6)
The following is a DFT calculation (PBE) of a geometry-optimized NdEr2Co2 structure. Values from VASP.

The structure in Quantum ESPRESSO input format:
```
&SYSTEM
  ibrav = 0, nat = 5, ntyp = 3
/
ATOMIC_SPECIES
Co 58.93 Co.upf
Er 167.26 Er.upf
Nd 144.24 Nd.upf
CELL_PARAMETERS angstrom
3.755 0.000 0.000
0.000 5.496 0.095
-1.878 -1.480 5.516
ATOMIC_POSITIONS crystal
Co 0.720 0.105 0.440
Co 0.280 0.895 0.560
Er 0.651 0.583 0.301
Er 0.349 0.417 0.699
Nd 0.000 0.000 0.000
```

Results
**Crystal system**: monoclinic
**Volume**: 114.4 Å³/cell
**SG**: C2/m

***

(7)
The following is a DFT calculation (PBE) of a geometry-optimized NdEr4Co structure. Values from VASP.

The structure in Quantum ESPRESSO input format:
```
&SYSTEM
  ibrav = 0, nat = 6, ntyp = 3
/
ATOMIC_SPECIES
Er 167.26 Er.upf
Co 58.93 Co.upf
Nd 144.24 Nd.upf
CELL_PARAMETERS angstrom
-5.651 -0.647 2.458
-2.090 -1.184 -2.582
2.910 -7.911 -1.123
ATOMIC_POSITIONS crystal
Er 0.552 0.120 0.211
Er 0.129 0.245 0.381
Er 0.448 0.880 0.789
Er 0.871 0.755 0.619
Co 0.500 0.500 0.500
Nd 0.000 0.000 0.000
```

Results
**Crystal system**: triclinic
**Volume**: 163.4 Å³/cell
**SG**: P-1

***

(8)
The following is a DFT calculation (PBE) of a geometry-optimized Nd2ErCo structure. Values from VASP.

The structure in Quantum ESPRESSO input format:
```
&SYSTEM
  ibrav = 0, nat = 4, ntyp = 3
/
ATOMIC_SPECIES
Nd 144.24 Nd.upf
Er 167.26 Er.upf
Co 58.93 Co.upf
CELL_PARAMETERS angstrom
-0.779 3.071 1.797
-2.802 2.071 -1.062
-7.548 -3.621 6.606
ATOMIC_POSITIONS crystal
Nd 0.111 0.111 0.666
Nd 0.889 0.889 0.334
Er 0.000 0.000 0.000
Co 0.500 0.500 0.500
```

Results
**Crystal system**: trigonal
**Energy relative to the lowest polymorph listed for this composition**: 0.341 eV/atom
**Volume**: 120.1 Å³/cell
**SG**: R-3m

***

(9)
The following is a DFT calculation (PBE) of a geometry-optimized Nd2ErCo structure. Values from VASP.

The structure in Quantum ESPRESSO input format:
```
&SYSTEM
  ibrav = 0, nat = 4, ntyp = 3
/
ATOMIC_SPECIES
Er 167.26 Er.upf
Co 58.93 Co.upf
Nd 144.24 Nd.upf
CELL_PARAMETERS angstrom
3.534 0.000 0.000
0.000 3.534 0.000
0.000 0.000 8.787
ATOMIC_POSITIONS crystal
Er 0.500 0.500 0.500
Co 0.500 0.500 0.000
Nd 0.000 0.000 0.193
Nd 0.000 0.000 0.807
```

Results
**Crystal system**: tetragonal
**Energy relative to the lowest polymorph listed for this composition**: 0.174 eV/atom
**Volume**: 109.7 Å³/cell
**SG**: P4/mmm

***

(10)
The following is a DFT calculation (PBE) of a geometry-optimized NdEr12Co6 structure. Values from VASP.

The structure in Quantum ESPRESSO input format:
```
&SYSTEM
  ibrav = 0, nat = 19, ntyp = 3
/
ATOMIC_SPECIES
Co 58.93 Co.upf
Er 167.26 Er.upf
Nd 144.24 Nd.upf
CELL_PARAMETERS angstrom
-6.634 4.645 2.213
-0.397 -1.712 -8.209
-0.028 -7.175 4.360
ATOMIC_POSITIONS crystal
Co 0.500 0.886 0.386
Co 0.886 0.386 0.500
Co 0.114 0.614 0.500
Co 0.614 0.500 0.114
Co 0.500 0.114 0.614
Co 0.386 0.500 0.886
Er 0.116 0.806 0.309
Er 0.194 0.691 0.884
Er 0.309 0.503 0.194
Er 0.503 0.194 0.309
Er 0.194 0.309 0.503
Er 0.806 0.309 0.116
Er 0.691 0.884 0.194
Er 0.884 0.194 0.691
Er 0.497 0.806 0.691
Er 0.691 0.497 0.806
Er 0.309 0.116 0.806
Er 0.806 0.691 0.497
Nd 0.000 0.000 0.000
```

Results
**Crystal system**: cubic
**Volume**: 455.5 Å³/cell
**SG**: Im-3

***

(11)
The following is a DFT calculation (PBE) of a geometry-optimized Nd2Er4Co structure. Values from VASP.

The structure in Quantum ESPRESSO input format:
```
&SYSTEM
  ibrav = 0, nat = 7, ntyp = 3
/
ATOMIC_SPECIES
Co 58.93 Co.upf
Nd 144.24 Nd.upf
Er 167.26 Er.upf
CELL_PARAMETERS angstrom
-5.056 -0.233 -0.932
0.938 -2.269 -4.523
-2.398 -8.863 1.020
ATOMIC_POSITIONS crystal
Co 0.000 0.000 0.000
Nd 0.359 0.359 0.281
Nd 0.641 0.641 0.719
Er 0.155 0.155 0.691
Er 0.000 0.500 0.000
Er 0.500 0.000 0.000
Er 0.845 0.845 0.309
```

Results
**Crystal system**: tetragonal
**Volume**: 224.9 Å³/cell
**SG**: I4/mmm

***

(12)
The following is a DFT calculation (PBE) of a geometry-optimized NdEr2Co structure. Values from VASP.

The structure in Quantum ESPRESSO input format:
```
&SYSTEM
  ibrav = 0, nat = 4, ntyp = 3
/
ATOMIC_SPECIES
Er 167.26 Er.upf
Nd 144.24 Nd.upf
Co 58.93 Co.upf
CELL_PARAMETERS angstrom
-2.534 -0.732 -2.476
0.860 -1.887 -2.964
-2.830 -9.625 3.100
ATOMIC_POSITIONS crystal
Er 0.116 0.116 0.652
Er 0.884 0.884 0.348
Nd 0.000 0.000 0.000
Co 0.500 0.500 0.500
```

Results
**Crystal system**: trigonal
**Energy relative to the lowest polymorph listed for this composition**: 0.234 eV/atom
**Volume**: 116.6 Å³/cell
**SG**: R-3m

***

(13)
The following is a DFT calculation (PBE) of a geometry-optimized Nd2ErCo9 structure. Values from VASP.

The structure in Quantum ESPRESSO input format:
```
&SYSTEM
  ibrav = 0, nat = 12, ntyp = 3
/
ATOMIC_SPECIES
Co 58.93 Co.upf
Er 167.26 Er.upf
Nd 144.24 Nd.upf
CELL_PARAMETERS angstrom
-4.233 -2.398 1.102
-1.572 -3.745 -2.896
2.339 -7.446 4.065
ATOMIC_POSITIONS crystal
Co 0.667 0.667 0.000
Co 0.423 0.423 0.235
Co 0.577 0.081 0.765
Co 0.081 0.577 0.765
Co 0.500 0.500 0.500
Co 0.423 0.919 0.235
Co 0.919 0.423 0.235
Co 0.333 0.333 0.000
Co 0.577 0.577 0.765
Er 0.000 0.000 0.000
Nd 0.139 0.139 0.582
Nd 0.861 0.861 0.418
```

Results
**Crystal system**: trigonal
**Volume**: 179.2 Å³/cell
**SG**: R-3m

***

(14)
The following is a DFT calculation (PBE) of a geometry-optimized Nd2ErCo2 structure. Values from VASP.

The structure in Quantum ESPRESSO input format:
```
&SYSTEM
  ibrav = 0, nat = 10, ntyp = 3
/
ATOMIC_SPECIES
Er 167.26 Er.upf
Co 58.93 Co.upf
Nd 144.24 Nd.upf
CELL_PARAMETERS angstrom
3.895 0.000 0.000
1.947 6.283 -0.063
1.947 0.821 9.536
ATOMIC_POSITIONS crystal
Er 0.781 0.073 0.365
Er 0.219 0.927 0.635
Co 0.105 0.331 0.459
Co 0.995 0.118 0.892
Co 0.005 0.882 0.108
Co 0.895 0.669 0.541
Nd 0.665 0.745 0.925
Nd 0.335 0.255 0.075
Nd 0.469 0.369 0.693
Nd 0.531 0.631 0.307
```

Results
**Crystal system**: monoclinic
**Volume**: 233.5 Å³/cell
**SG**: C2/m

***

(15)
The following is a DFT calculation (PBE) of a geometry-optimized Nd2ErCo structure. Values from VASP.

The structure in Quantum ESPRESSO input format:
```
&SYSTEM
  ibrav = 0, nat = 8, ntyp = 3
/
ATOMIC_SPECIES
Co 58.93 Co.upf
Nd 144.24 Nd.upf
Er 167.26 Er.upf
CELL_PARAMETERS angstrom
3.751 0.000 0.000
-1.876 5.932 0.000
0.000 0.000 9.818
ATOMIC_POSITIONS crystal
Co 0.761 0.522 0.750
Co 0.239 0.478 0.250
Nd 0.363 0.726 0.573
Nd 0.637 0.274 0.427
Nd 0.637 0.274 0.073
Nd 0.363 0.726 0.927
Er 0.908 0.816 0.250
Er 0.092 0.184 0.750
```

Results
**Crystal system**: orthorhombic
**Energy relative to the lowest polymorph listed for this composition**: 0.025 eV/atom
**Volume**: 218.5 Å³/cell
**SG**: Cmcm

***

(16)
The following is a DFT calculation (PBE) of a geometry-optimized Nd2Er5Co2 structure. Values from VASP.

The structure in Quantum ESPRESSO input format:
```
&SYSTEM
  ibrav = 0, nat = 18, ntyp = 3
/
ATOMIC_SPECIES
Er 167.26 Er.upf
Co 58.93 Co.upf
Nd 144.24 Nd.upf
CELL_PARAMETERS angstrom
6.597 0.000 2.394
0.000 6.990 0.000
-0.067 0.000 10.468
ATOMIC_POSITIONS crystal
Er 0.577 0.823 0.207
Er 0.000 0.000 0.000
Er 0.216 0.177 0.207
Er 0.500 0.500 0.000
Er 0.423 0.177 0.793
Er 0.923 0.323 0.793
Er 0.716 0.323 0.207
Er 0.784 0.823 0.793
Er 0.284 0.677 0.793
Er 0.077 0.677 0.207
Co 0.614 0.111 0.000
Co 0.886 0.611 0.000
Co 0.114 0.389 0.000
Co 0.386 0.889 0.000
Nd 0.769 0.000 0.461
Nd 0.731 0.500 0.539
Nd 0.269 0.500 0.461
Nd 0.231 0.000 0.539
```

Results
**Crystal system**: orthorhombic
**Volume**: 483.8 Å³/cell
**SG**: Cmce

***

(17)
The following is a DFT calculation (PBE) of a geometry-optimized NdEr2Co structure. Values from VASP.

The structure in Quantum ESPRESSO input format:
```
&SYSTEM
  ibrav = 0, nat = 4, ntyp = 3
/
ATOMIC_SPECIES
Co 58.93 Co.upf
Er 167.26 Er.upf
Nd 144.24 Nd.upf
CELL_PARAMETERS angstrom
3.779 0.000 0.000
1.889 3.273 0.000
1.889 1.091 8.957
ATOMIC_POSITIONS crystal
Co 0.666 0.666 0.001
Er 0.054 0.054 0.837
Er 0.278 0.278 0.166
Nd 0.502 0.502 0.495
```

Results
**Crystal system**: trigonal
**Energy relative to the lowest polymorph listed for this composition**: 0.088 eV/atom
**Volume**: 110.8 Å³/cell
**SG**: R3m

***

(18)
The following is a DFT calculation (PBE) of a geometry-optimized Nd2Er5Co4 structure. Values from VASP.

The structure in Quantum ESPRESSO input format:
```
&SYSTEM
  ibrav = 0, nat = 11, ntyp = 3
/
ATOMIC_SPECIES
Co 58.93 Co.upf
Nd 144.24 Nd.upf
Er 167.26 Er.upf
CELL_PARAMETERS angstrom
-5.049 -4.090 -0.521
1.252 -6.524 -1.695
-1.563 -4.073 6.334
ATOMIC_POSITIONS crystal
Co 0.783 0.590 0.845
Co 0.217 0.410 0.155
Co 0.329 0.061 0.282
Co 0.671 0.939 0.718
Nd 0.280 0.814 0.625
Nd 0.720 0.186 0.375
Er 0.669 0.251 0.894
Er 0.000 0.500 0.500
Er 0.187 0.251 0.894
Er 0.813 0.749 0.106
Er 0.331 0.749 0.106
```

Results
**Crystal system**: monoclinic
**Volume**: 273.1 Å³/cell
**SG**: C2/m

***

(19)
The following is a DFT calculation (PBE) of a geometry-optimized Nd3ErCo structure. Values from VASP.

The structure in Quantum ESPRESSO input format:
```
&SYSTEM
  ibrav = 0, nat = 5, ntyp = 3
/
ATOMIC_SPECIES
Co 58.93 Co.upf
Nd 144.24 Nd.upf
Er 167.26 Er.upf
CELL_PARAMETERS angstrom
-2.779 4.195 2.019
-2.210 0.881 -4.873
-4.098 -3.320 1.258
ATOMIC_POSITIONS crystal
Co 0.000 0.000 0.000
Nd 0.500 0.000 0.000
Nd 0.000 0.500 0.000
Nd 0.000 0.000 0.500
Er 0.500 0.500 0.500
```

Results
**Crystal system**: cubic
**Volume**: 159.4 Å³/cell
**SG**: Pm-3m

***

(20)
The following is a DFT calculation (PBE) of a geometry-optimized NdErCoNi structure. Values from VASP.

The structure in Quantum ESPRESSO input format:
```
&SYSTEM
  ibrav = 0, nat = 4, ntyp = 4
/
ATOMIC_SPECIES
Co 58.93 Co.upf
Ni 58.69 Ni.upf
Er 167.26 Er.upf
Nd 144.24 Nd.upf
CELL_PARAMETERS angstrom
4.809 0.000 0.000
2.404 4.165 0.000
2.404 1.388 3.926
ATOMIC_POSITIONS crystal
Co 0.750 0.750 0.750
Ni 0.250 0.250 0.250
Er 0.000 0.000 0.000
Nd 0.500 0.500 0.500
```

Results
**Crystal system**: cubic
**Volume**: 78.6 Å³/cell
**SG**: F-43m

***

no.,ΔE_f (meV/atom)
1,-58.5
2,-93.5
3,-124.1
4,-95.3
5,-147.5
6,-71.2
7,-50.0
8,247.3
9,80.5
10,-154.0
11,161.3
12,110.2
13,-89.2
14,-75.1
15,-68.4
16,-97.2
17,-36.1
18,21.3
19,115.3
20,-176.4